SnAuS: optimized geometry, PBE-GGA.

The structure in POSCAR format:
```
SnAuS
1.0
3.494 2.017 5.125
-3.494 2.017 5.125
0.000 -4.034 5.125
Sn Au S
3 3 3
Direct
0.009 0.376 0.615 Sn
0.376 0.615 0.009 Sn
0.615 0.009 0.376 Sn
0.448 0.448 0.448 Au
0.770 0.770 0.770 Au
0.956 0.956 0.956 Au
0.246 0.873 0.518 S
0.518 0.246 0.873 S
0.873 0.518 0.246 S
```

Output
As for the total magnetization: 0.00 μB/f.u. Its final energy is -34.93 eV per cell. The space group is R3.

TlHg4H4: optimized geometry, PBE-GGA.

The structure in POSCAR format:
```
TlHg4H4
1.0
5.990 0.000 0.000
0.000 3.784 0.000
-1.063 0.000 7.235
Tl Hg H
1 4 4
Direct
0.000 0.000 0.000 Tl
0.197 0.500 0.388 Hg
0.381 0.500 0.802 Hg
0.619 0.500 0.198 Hg
0.803 0.500 0.612 Hg
0.195 0.000 0.382 H
0.376 0.000 0.804 H
0.624 0.000 0.196 H
0.805 0.000 0.618 H
```

Output
As for the total magnetization: 0.00 μB/f.u. Its final energy is -14.37 eV per cell. The space group is P2/m.